VASP calculation (GGA-PBE) on a relaxed ZnCdFeMo crystal.

Summary:
energy	-4.88	eV/atom
formation energy	447	meV/atom
magnetization	0.69	μB/f.u.

```
ZnCdFeMo
1.0
0.121 -0.746 4.357
-1.080 3.225 2.826
-3.765 -0.250 2.306
Cd Zn Fe Mo
1 1 1 1
direct
0.250 0.250 0.250
0.000 0.000 0.000
0.750 0.750 0.750
0.500 0.500 0.500
```